Material: ScCo2PbO6
Method: DFT, PBE+U
State: optimized geometry

Structure (CIF):
```
data_ScCo2PbO6
_cell_length_a 5.2755
_cell_length_b 5.2755
_cell_length_c 14.0745
_cell_angle_alpha 90.00
_cell_angle_beta 90.00
_cell_angle_gamma 120.00
_space_group_name_H-M_alt 'R 3'
_space_group_IT_number 146
_space_group_name_Hall 'R 3'
loop_
_atom_site_label
_atom_site_fract_x
_atom_site_fract_y
_atom_site_fract_z
_atom_site_occupancy
Sc1 0.0000 0.0000 0.0000 1
Co1 0.0000 0.0000 0.3002 1
Co2 0.0000 0.0000 0.7840 1
Pb1 0.0000 0.0000 0.5089 1
O1 0.0078 0.3916 0.5607 1
O2 0.0163 0.7176 0.3864 1
```

Properties
Total energy ... -6.549 eV per atom



Material: CoPbSe2O8
Method: DFT, PBE+U
State: optimized geometry

Structure (CIF):
```
data_CoPbSe2O8
_cell_length_a 8.490
_cell_length_b 5.595
_cell_length_c 7.662
_cell_angle_alpha 90.00
_cell_angle_beta 93.48
_cell_angle_gamma 90.00
_space_group_name_H-M_alt 'C 1 2/m 1'
_space_group_IT_number 12
loop_
_space_group_symop_operation_xyz
'x,y,z'
'-x,-y,-z'
'-x,y,-z'
'x,-y,z'
'x+1/2,y+1/2,z'
'-x+1/2,-y+1/2,-z'
'-x+1/2,y+1/2,-z'
'x+1/2,-y+1/2,z'
loop_
_atom_site_label
_atom_site_fract_x
_atom_site_fract_y
_atom_site_fract_z
_atom_site_occupancy
Co1 0.000 0.000 0.000 1
Pb1 0.000 0.000 0.500 1
Se1 0.135 0.500 0.783 1
O1 0.020 0.253 0.790 1
O2 0.208 0.500 0.585 1
O3 0.237 0.000 0.044 1
```

Properties
Total energy ... -5.483 eV per atom



Material: CoPbSeO2
Method: DFT, PBE+U
State: optimized geometry

Structure (CIF):
```
data_CoPbSeO2
_cell_length_a 4.091
_cell_length_b 4.091
_cell_length_c 6.001
_cell_angle_alpha 90.00
_cell_angle_beta 90.00
_cell_angle_gamma 90.00
_space_group_name_H-M_alt 'P 4/m m m'
_space_group_IT_number 123
_space_group_name_Hall '-P 4 2'
loop_
_atom_site_label
_atom_site_fract_x
_atom_site_fract_y
_atom_site_fract_z
_atom_site_occupancy
Co1 0.000 0.000 0.000 1
Pb1 0.500 0.500 0.500 1
Se1 0.500 0.500 0.000 1
O1 0.000 0.500 0.500 1
```

Properties
Total energy ... -4.235 eV per atom



total energy of number 1 (ScCo2PbO6)?
-6.549 eV per atom



Which value of total energy does entry 2 give?
-5.483 eV per atom



Which formula does entry 2 have?
CoPbSe2O8